This record from Alexandria via LeMat-Bulk describes crystalline Tl2CoAsO4 at its relaxed geometry. The functional is PBE+U.

abc: 5.4245 5.4818 5.9929
angles: 93.45 111.24 108.83
Last column: nearest neighbours and their distance in Å.
Sites, in units of the cell vectors:
Tl1 0.0000 0.0000 0.0000  2 O 2.51-2.76
Tl2 0.4328 0.2771 0.6952  3 O 2.63-2.78
Co1 0.9473 0.4112 0.3660  2 O 1.88-1.90
As1 0.5610 0.7742 0.3235  4 O 1.71-1.75
O1 0.2080 0.6796 0.2921  1 As 1.75, 1 Co 1.88
O2 0.5750 0.6916 0.0497  1 As 1.71
O3 0.6858 0.1159 0.4152  1 As 1.75, 1 Co 1.90
O4 0.7524 0.6443 0.5484  1 As 1.73

Values from the calculation:
Total magnetic moment (μB/cell): 2.00
Electronic total energy (eV/atom): -5.195
Crystal system: triclinic